# PBE-GGA K3Pu2NiSe6, relaxed
# crystal system = monoclinic
# uncorrected energy = -5.9883 eV/atom
# theoretical density = 5.61 g cm⁻³
data_K3Pu2NiSe6
_space_group_name_H-M_alt 'C 1 2/m 1'
_space_group_IT_number 12
_cell_length_a 7.128
_cell_length_b 12.348
_cell_length_c 8.010
_cell_angle_alpha 90.00
_cell_angle_beta 107.28
_cell_angle_gamma 90.00
loop_
_space_group_symop_operation_xyz
'x,y,z'
'-x,-y,-z'
'-x,y,-z'
'x,-y,z'
'x+1/2,y+1/2,z'
'-x+1/2,-y+1/2,-z'
'-x+1/2,y+1/2,-z'
'x+1/2,-y+1/2,z'
loop_
_atom_site_label
_atom_site_fract_x
_atom_site_fract_y
_atom_site_fract_z
K1 0.000 0.000 0.000
K2 0.000 0.332 0.000
Pu1 0.000 0.167 0.500
Ni1 0.000 0.500 0.500
Se1 0.224 0.341 0.696
Se2 0.247 0.000 0.696